Entry 1:
! Pm2Nd3PuTe6 (PBE, relaxed); values from VASP
&SYSTEM
  ibrav = 0, nat = 12, ntyp = 4
/
ATOMIC_SPECIES
Pm 145.00 Pm.upf
Nd 144.24 Nd.upf
Pu 244.00 Pu.upf
Te 127.60 Te.upf
CELL_PARAMETERS angstrom
-0.7357 4.3934 -0.0865
-5.6203 -1.0778 -6.9365
-5.4628 -3.0198 7.8274
ATOMIC_POSITIONS angstrom
Pm -8.0294 0.9249 0.5247
Pm -3.7894 -0.6291 0.2797
Nd -3.1780 1.6578 -3.5115
Nd -5.1702 1.4717 3.9810
Nd -6.6486 -1.1759 -3.1766
Pu -0.3679 2.1967 -0.0433
Te -9.0597 -1.5395 -1.1369
Te -5.5929 1.2937 -1.4667
Te -2.7590 1.8353 1.9413
Te -7.5750 1.1094 6.0311
Te -4.2438 -0.8136 -5.2267
Te -6.2259 -0.9979 2.2711
! ΔE_f (raw) = -1376 meV/atom
! SG = C2/m
! V = 380 Å³/f.u.

Entry 2:
! EuH2Pb (PBE, relaxed); values from VASP
&SYSTEM
  ibrav = 0, nat = 4, ntyp = 3
/
ATOMIC_SPECIES
Pb 207.20 Pb.upf
Eu 151.96 Eu.upf
H 1.01 H.upf
CELL_PARAMETERS angstrom
3.7389 0.0000 0.0000
1.8695 3.2380 0.0000
1.8695 1.0793 5.7974
ATOMIC_POSITIONS angstrom
Pb 0.0000 0.0000 0.0000
Eu 3.7389 2.1587 2.8987
H 1.8695 1.0793 2.0512
H 5.6084 3.2380 3.7463
! total DFT energy (no corrections) = -5.357 eV per atom
! SG = R-3m
! V = 70 Å³/f.u.

Entry 3:
! BaNb2CuRu (PBE, relaxed); values from VASP
&SYSTEM
  ibrav = 0, nat = 5, ntyp = 4
/
ATOMIC_SPECIES
Ru 101.07 Ru.upf
Nb 92.91 Nb.upf
Ba 137.33 Ba.upf
Cu 63.55 Cu.upf
CELL_PARAMETERS angstrom
5.0675 0.0000 0.0000
0.0000 4.8811 0.0000
0.0000 0.0000 5.0675
ATOMIC_POSITIONS angstrom
Ru 0.0000 2.4405 0.0000
Nb 0.0000 0.0000 2.5337
Nb 2.5337 0.0000 0.0000
Ba 0.0000 0.0000 0.0000
Cu 2.5337 2.4405 2.5337
! ΔE_f = 263.3 kJ/mol of atoms
! SG = P4/mmm
! V = 125 Å³/f.u.

Please write out number 3 again, unchanged.
! BaNb2CuRu (PBE, relaxed); values from VASP
&SYSTEM
  ibrav = 0, nat = 5, ntyp = 4
/
ATOMIC_SPECIES
Ru 101.07 Ru.upf
Nb 92.91 Nb.upf
Ba 137.33 Ba.upf
Cu 63.55 Cu.upf
CELL_PARAMETERS angstrom
5.0675 0.0000 0.0000
0.0000 4.8811 0.0000
0.0000 0.0000 5.0675
ATOMIC_POSITIONS angstrom
Ru 0.0000 2.4405 0.0000
Nb 0.0000 0.0000 2.5337
Nb 2.5337 0.0000 0.0000
Ba 0.0000 0.0000 0.0000
Cu 2.5337 2.4405 2.5337
! ΔE_f = 263.3 kJ/mol of atoms
! SG = P4/mmm
! V = 125 Å³/f.u.